VASP calculation (PBE) on a relaxed ThBeRh3 crystal.

Energy relative to the elements = -0.7858 eV/atom
D(E_F) = 1.06 states/eV per atom
Raw total energy = -7.43 eV/atom

Structure (CIF):
```
data_ThBeRh3
_chemical_formula_sum 'Th1 Be1 Rh3'
_symmetry_space_group_name_H-M 'P m -3 m'
_symmetry_Int_Tables_number 221
_symmetry_space_group_name_Hall '-P 4 2 3'
_cell_length_a 4.3156
_cell_length_b 4.3156
_cell_length_c 4.3156
_cell_angle_alpha 90.00
_cell_angle_beta 90.00
_cell_angle_gamma 90.00
loop_
_atom_site_label
_atom_site_type_symbol
_atom_site_fract_x
_atom_site_fract_y
_atom_site_fract_z
Th1 Th 0.0000 0.0000 0.0000
Be1 Be 0.5000 0.5000 0.5000
Rh1 Rh 0.0000 0.5000 0.5000
```

=====

VASP calculation (PBE) on a relaxed Tb2Nd4DyMg crystal.

Energy relative to the elements = 0.0064 eV/atom
D(E_F) = 1.29 states/eV per atom
Raw total energy = -4.31 eV/atom

Structure (CIF):
```
data_Tb2Nd4DyMg
_chemical_formula_sum 'Tb2 Nd4 Dy1 Mg1'
_symmetry_space_group_name_H-M 'P 4/m m m'
_symmetry_Int_Tables_number 123
_symmetry_space_group_name_Hall '-P 4 2'
_cell_length_a 5.0802
_cell_length_b 5.0802
_cell_length_c 10.0399
_cell_angle_alpha 90.00
_cell_angle_beta 90.00
_cell_angle_gamma 90.00
loop_
_atom_site_label
_atom_site_type_symbol
_atom_site_fract_x
_atom_site_fract_y
_atom_site_fract_z
Tb1 Tb 0.0000 0.0000 0.0000
Tb2 Tb 0.5000 0.5000 0.5000
Nd1 Nd 0.0000 0.5000 0.2461
Dy1 Dy 0.0000 0.0000 0.5000
Mg1 Mg 0.5000 0.5000 0.0000
```

=====

VASP calculation (PBE) on a relaxed RbAgHg3 crystal.

Energy relative to the elements = -0.0955 eV/atom
ΔE to the lowest computed polymorph = 21 meV/atom
D(E_F) = 0.51 states/eV per atom
Raw total energy = -1.04 eV/atom

Structure (CIF):
```
data_RbAgHg3
_chemical_formula_sum 'Rb1 Ag1 Hg3'
_symmetry_space_group_name_H-M 'P m -3 m'
_symmetry_Int_Tables_number 221
_symmetry_space_group_name_Hall '-P 4 2 3'
_cell_length_a 5.5647
_cell_length_b 5.5647
_cell_length_c 5.5647
_cell_angle_alpha 90.00
_cell_angle_beta 90.00
_cell_angle_gamma 90.00
loop_
_atom_site_label
_atom_site_type_symbol
_atom_site_fract_x
_atom_site_fract_y
_atom_site_fract_z
Rb1 Rb 0.0000 0.0000 0.0000
Ag1 Ag 0.5000 0.5000 0.5000
Hg1 Hg 0.0000 0.5000 0.5000
```

=====

VASP calculation (PBE) on a relaxed PaGa6Sn crystal.

Energy relative to the elements = -0.1008 eV/atom
D(E_F) = 0.69 states/eV per atom
Raw total energy = -4.06 eV/atom

Structure (CIF):
```
data_PaGa6Sn
_chemical_formula_sum 'Pa2 Ga12 Sn2'
_symmetry_space_group_name_H-M 'C m m m'
_symmetry_Int_Tables_number 65
_symmetry_space_group_name_Hall '-C 2 2'
_cell_length_a 6.4923
_cell_length_b 10.3327
_cell_length_c 4.8975
_cell_angle_alpha 90.00
_cell_angle_beta 90.00
_cell_angle_gamma 90.00
loop_
_atom_site_label
_atom_site_type_symbol
_atom_site_fract_x
_atom_site_fract_y
_atom_site_fract_z
Pa1 Pa 0.0000 0.0000 0.0000
Ga1 Ga 0.0000 0.2085 0.5000
Ga2 Ga 0.2127 0.5000 0.5000
Ga3 Ga 0.2500 0.2500 0.0000
Sn1 Sn 0.0000 0.5000 0.0000
```

=====

VASP calculation (PBE) on a relaxed K2SbBr4Cl2 crystal.

ΔE_f (raw) = -1147 meV per atom
D(E_F) = 0.42 states/eV per atom
Raw total energy = -3.00 eV/atom

Structure (CIF):
```
data_K2SbBr4Cl2
_chemical_formula_sum 'K4 Sb2 Br8 Cl4'
_symmetry_space_group_name_H-M 'C 1 2/m 1'
_symmetry_Int_Tables_number 12
_cell_length_a 13.1788
_cell_length_b 7.4760
_cell_length_c 7.6932
_cell_angle_alpha 90.00
_cell_angle_beta 125.51
_cell_angle_gamma 90.00
loop_
_symmetry_equiv_pos_as_xyz
'x,y,z'
'-x,-y,-z'
'-x,y,-z'
'x,-y,z'
'x+1/2,y+1/2,z'
'-x+1/2,-y+1/2,-z'
'-x+1/2,y+1/2,-z'
'x+1/2,-y+1/2,z'
loop_
_atom_site_label
_atom_site_type_symbol
_atom_site_fract_x
_atom_site_fract_y
_atom_site_fract_z
K1 K 0.2462 0.0000 0.2392
Sb1 Sb 0.0000 0.0000 0.5000
Br1 Br 0.0398 0.2567 0.2979
Cl1 Cl 0.2322 0.0000 0.8088
```

=====

VASP calculation (PBE) on a relaxed LaHoGa4 crystal.

Energy relative to the elements = -0.6482 eV/atom
ΔE to the lowest computed polymorph = 18 meV/atom
D(E_F) = 0.59 states/eV per atom
Raw total energy = -4.25 eV/atom

Structure (CIF):
```
data_LaHoGa4
_chemical_formula_sum 'La2 Ho2 Ga8'
_symmetry_space_group_name_H-M 'I -4 m 2'
_symmetry_Int_Tables_number 119
_symmetry_space_group_name_Hall 'I -4 -2'
_cell_length_a 4.2632
_cell_length_b 4.2632
_cell_length_c 14.8583
_cell_angle_alpha 90.00
_cell_angle_beta 90.00
_cell_angle_gamma 90.00
loop_
_atom_site_label
_atom_site_type_symbol
_atom_site_fract_x
_atom_site_fract_y
_atom_site_fract_z
La1 La 0.0000 0.0000 0.0000
Ho1 Ho 0.0000 0.5000 0.2500
Ga1 Ga 0.0000 0.0000 0.4150
Ga2 Ga 0.0000 0.5000 0.6685
```